(1)
Ac3AlCd3 after structural relaxation. Source: Alexandria via LeMat-Bulk, functional PBE-GGA.

a = 6.3922 Å, b = 6.3922 Å, c = 16.4078 Å
α = 108.31°, β = 108.31°, γ = 45.47°
Element x y z (fractional)
Ac  0.0427  0.0427  0.3892
Ac  0.1016  0.1016  0.9214
Ac  0.2586  0.2586  0.2321
Ac  0.7414  0.7414  0.7679
Ac  0.8984  0.8984  0.0786
Ac  0.9573  0.9573  0.6108
Al  0.2507  0.2507  0.6057
Al  0.7492  0.7492  0.3943
Cd  0.3611  0.3611  0.4603
Cd  0.3881  0.3881  0.9224
Cd  0.4503  0.4503  0.7613
Cd  0.5497  0.5497  0.2387
Cd  0.6119  0.6119  0.0776
Cd  0.6389  0.6389  0.5397

## Properties
* E_form: -0.27 eV per atom
* magnetic moment: 0.00 μB/f.u.

=====

(2)
LaZrSc2 after structural relaxation. Source: Alexandria via LeMat-Bulk, functional PBE-GGA.

a = 3.3694 Å, b = 3.3694 Å, c = 32.2994 Å
α = 90.00°, β = 90.00°, γ = 120.00°
Element x y z (fractional)
La  0.0000  0.0000  0.0000
La  0.3333  0.6667  0.6667
La  0.6667  0.3333  0.3333
Zr  0.0000  0.0000  0.8342
Zr  0.3333  0.6667  0.5008
Zr  0.6667  0.3333  0.1675
Sc  0.0000  0.0000  0.4233
Sc  0.0000  0.0000  0.5778
Sc  0.3333  0.6667  0.0900
Sc  0.3333  0.6667  0.2444
Sc  0.6667  0.3333  0.7567
Sc  0.6667  0.3333  0.9111

## Properties
* E_form: 0.06 eV per atom
* energy above the most stable polymorph in this dataset: 6 meV/atom
* magnetic moment: 0.00 μB/f.u.

=====

(3)
Sr2ScSnS5 after structural relaxation. Source: Alexandria via LeMat-Bulk, functional PBE-GGA.

a = 8.7408 Å, b = 8.7408 Å, c = 12.8534 Å
α = 90.00°, β = 90.00°, γ = 153.32°
Element x y z (fractional)
Sr  0.1061  0.8939  0.5000
Sr  0.1421  0.8579  0.1351
Sr  0.8579  0.1421  0.6351
Sr  0.8939  0.1061  0.0000
Sc  0.2172  0.7828  0.8547
Sc  0.7828  0.2172  0.3547
Sn  0.4596  0.5404  0.2779
Sn  0.5404  0.4596  0.7779
S  0.0619  0.9381  0.8991
S  0.2781  0.7219  0.4880
S  0.3114  0.6886  0.2203
S  0.3646  0.6354  0.8252
S  0.4916  0.5084  0.5917
S  0.5084  0.4916  0.0917
S  0.6354  0.3646  0.3252
S  0.6886  0.3114  0.7203
S  0.7219  0.2781  0.9880
S  0.9381  0.0619  0.3991

## Properties
* formation energy (no corrections): -1.524 eV per atom
* magnetic moment: 0.00 μB/f.u.

=====

Volume / A^3/atom: 32.09; 26.46; 24.50